Record 1
This record from the Alexandria database describes YEr8Sc4 after structural relaxation. The functional is PBE-GGA.

```
13
Lattice="-0.5304 6.2570 3.1296 -2.7590 -0.9783 -6.3763 -6.4072 -6.3508 3.7469" Properties=species:S:1:pos:R:3 pbc="T T T"
Er -2.5526 -1.8156 -0.3657
Er -5.6350 1.2786 4.3534
Er -4.0616 -2.3507 -3.8531
Er -4.9783 -1.6241 2.4033
Er -4.7183 0.5519 -1.9031
Er -7.1440 0.7435 0.8660
Er -6.9037 -2.0914 -0.5520
Er -2.7929 1.0192 1.0522
Sc -7.7867 -6.8400 0.5587
Sc 0.0000 0.0000 0.0000
Sc -1.6447 2.6393 -1.6233
Sc -0.2652 3.1285 1.5648
Y -4.5831 -3.6646 -1.3147
```

Properties
**Calculated formation energy**: 0.27 eV/atom
**Total moment**: 0.000 Bohr magnetons per cell

=====

Record 2
This record from the Alexandria database describes YEr14Sc after structural relaxation. The functional is PBE-GGA.

```
16
Lattice="-0.2433 -6.7431 -0.9668 6.2033 2.0167 -1.9789 3.7542 -1.5904 10.1477" Properties=species:S:1:pos:R:3 pbc="T T T"
Er 4.8554 -1.3640 0.7184
Er 4.3598 -4.8524 0.5820
Er 2.2595 0.4592 -0.7639
Er 1.3673 -6.3668 1.6879
Er 5.4855 1.0414 -1.8662
Er 6.2312 -5.6452 5.6405
Er 6.6527 -3.3368 2.9088
Er 2.6162 -2.8575 -1.4157
Er 6.8714 -2.2180 6.1677
Er 3.0882 -7.0958 6.3397
Er 5.7927 -2.3427 -2.5102
Er 4.2191 -1.4069 4.1116
Er 1.8632 -2.8726 1.8159
Er 3.7347 -3.6653 6.8744
Y 3.6181 -4.8420 3.7956
Sc 7.1900 0.0116 3.2348
```

Properties
**Calculated formation energy**: 0.07 eV/atom
**Total moment**: 0.000 Bohr magnetons per cell

=====

Record 3
This record from the Alexandria database describes Y6ErSc after structural relaxation. The functional is PBE-GGA.

```
8
Lattice="5.5991 0.0000 0.0000 0.0000 7.1948 -0.2328 0.0000 -3.3942 6.3481" Properties=species:S:1:pos:R:3 pbc="T T T"
Y 0.0000 2.7594 2.5237
Y 0.0000 -0.7915 2.6370
Y 2.7995 4.6142 3.5061
Y 2.7995 2.6998 0.4258
Y 2.7995 6.3264 0.3069
Y 0.0000 1.0857 5.6575
Sc 2.7995 1.0140 3.6085
Er 0.0000 -2.5089 5.7979
```

Properties
**Calculated formation energy**: 0.01 eV/atom
**Energy above the most stable polymorph in this dataset**: 0 meV per atom
**Total moment**: 0.138 Bohr magnetons per cell

=====

Record 4
This record from the Alexandria database describes Y3Er2Sc2 after structural relaxation. The functional is PBE-GGA.

```
7
Lattice="3.4031 0.0000 0.0000 0.0000 8.3181 -0.6951 -1.7015 -3.4906 7.7006" Properties=species:S:1:pos:R:3 pbc="T T T"
Sc 0.0000 -2.3051 6.6479
Sc 1.7015 7.1326 0.3576
Er 1.7015 3.2069 5.0564
Er 0.0000 1.6206 1.9490
Y 1.7015 -0.3647 4.2901
Y 0.0000 4.1591 -0.3476
Y 0.0000 5.1922 2.7153
```

Properties
**Calculated formation energy**: 0.14 eV/atom
**Energy above the most stable polymorph in this dataset**: 59 meV per atom
**Total moment**: 0.001 Bohr magnetons per cell

=====

Record 5
This record from the Alexandria database describes Y3Er6Sc after structural relaxation. The functional is PBE-GGA.

```
20
Lattice="6.0818 0.0000 0.0000 0.0000 10.7344 -1.5953 0.0000 -3.9504 10.1078" Properties=species:S:1:pos:R:3 pbc="T T T"
Sc 0.8695 -0.8718 7.6543
Sc 3.9104 7.6558 0.8582
Y 2.7786 7.2618 5.8066
Y 5.8195 4.0397 8.3745
Y 5.8195 -0.4778 2.7059
Y 3.4443 5.0167 2.9615
Y 0.4033 1.7673 5.5511
Y 2.7786 2.7443 0.1380
Er 2.2160 1.9974 8.8662
Er 5.6928 -3.2069 9.5152
Er 2.2160 -1.4129 4.5870
Er 3.2352 1.5807 3.4118
Er 3.8542 0.1898 6.8082
Er 0.8133 6.5942 1.7043
Er 5.2569 8.1969 3.9256
Er 0.1943 5.2033 5.1008
Er 2.6519 9.9909 -1.0027
Er 0.1943 2.9730 2.3022
Er 5.2569 4.7866 -0.3537
Er 3.2352 3.8110 6.2103
```

Properties
**Calculated formation energy**: 0.14 eV/atom
**Energy above the most stable polymorph in this dataset**: 0 meV per atom
**Total moment**: 0.000 Bohr magnetons per cell

=====

Record 6
This record from the Alexandria database describes YEr12Sc3 after structural relaxation. The functional is PBE-GGA.

```
16
Lattice="4.9034 0.0000 0.0000 0.0000 4.9034 0.0000 0.0000 0.0000 19.5801" Properties=species:S:1:pos:R:3 pbc="T T T"
Y 0.0000 0.0000 0.0000
Er 2.4517 0.0000 12.2130
Er 0.0000 2.4517 17.0545
Er 2.4517 2.4517 0.0000
Er 2.4517 2.4517 14.6283
Er 0.0000 2.4517 7.3672
Er 2.4517 0.0000 17.0545
Er 2.4517 2.4517 9.7901
Er 2.4517 0.0000 2.5257
Er 2.4517 0.0000 7.3672
Er 0.0000 2.4517 12.2130
Er 0.0000 2.4517 2.5257
Er 2.4517 2.4517 4.9519
Sc 0.0000 0.0000 14.6425
Sc 0.0000 0.0000 9.7901
Sc 0.0000 0.0000 4.9376
```

Properties
**Calculated formation energy**: 0.04 eV/atom
**Total moment**: 0.000 Bohr magnetons per cell

=====

Record 7
This record from the Alexandria database describes Y6ErSc after structural relaxation. The functional is PBE-GGA.

```
8
Lattice="6.3155 -0.3107 2.4137 0.3283 6.4356 -0.6535 1.1179 -0.9714 6.7618" Properties=species:S:1:pos:R:3 pbc="T T T"
Y 6.3986 0.8967 5.4726
Y 4.4101 4.2705 4.4414
Y 1.3630 4.2568 3.0495
Y 3.9893 0.4897 7.6415
Y 3.3515 0.8830 4.0807
Y 3.7723 4.6639 0.8805
Sc 0.0000 0.0000 0.0000
Er 0.1641 3.2178 -0.3268
```

Properties
**Calculated formation energy**: 0.21 eV/atom
**Energy above the most stable polymorph in this dataset**: 202 meV per atom
**Total moment**: 0.008 Bohr magnetons per cell

=====

Record 8
This record from the Alexandria database describes Y2Er8Sc after structural relaxation. The functional is PBE-GGA.

```
11
Lattice="5.5528 1.6404 0.0000 2.6347 8.4476 0.0000 1.3173 4.2238 7.9817" Properties=species:S:1:pos:R:3 pbc="T T T"
Er 6.4484 7.4024 6.1175
Er 3.0565 6.9094 1.8642
Er 5.4161 6.0181 0.0000
Er 2.7714 4.0699 0.0000
Er 5.1310 3.1787 1.8642
Er 5.4111 9.2678 3.2198
Er 4.3738 11.1332 6.1175
Er 4.0937 5.0440 4.7619
Sc 2.7764 0.8202 0.0000
Y 2.6347 8.4476 4.9087
Y 1.3173 4.2238 3.0729
```

Properties
**Calculated formation energy**: 0.18 eV/atom
**Energy above the most stable polymorph in this dataset**: 39 meV per atom
**Total moment**: 0.000 Bohr magnetons per cell

=====

Record 9
This record from the Alexandria database describes Y5Er2Sc2 after structural relaxation. The functional is PBE-GGA.

```
9
Lattice="4.7069 0.0000 1.4311 1.2896 8.1307 4.2144 0.2291 1.1988 7.7021" Properties=species:S:1:pos:R:3 pbc="T T T"
Y 0.0000 0.0000 0.0000
Y 2.1008 6.4652 10.0022
Y 1.6522 0.4065 3.0220
Y 4.1248 2.8643 3.3455
Y 4.5734 8.9230 10.3257
Er 5.1851 6.0539 8.3140
Er 1.0405 3.2756 5.0337
Sc 3.5148 5.6447 5.3518
Sc 2.7108 3.6848 7.9959
```

Properties
**Calculated formation energy**: 0.05 eV/atom
**Energy above the most stable polymorph in this dataset**: 0 meV per atom
**Total moment**: 0.001 Bohr magnetons per cell